Entry 1:
Density functional theory data (GGA-PBE) for a relaxed structure of HoGaHg.

extended XYZ file:
```
12
Lattice="7.722 1.063 -2.673 -5.032 -3.979 5.171 -2.441 -4.190 -6.662" Properties=species:S:1:pos:R:3 pbc="T T T"
Ho 2.485 -2.133 -0.766
Ho -2.236 -4.973 -3.398
Ho -0.269 -3.222 0.927
Ho 0.517 -3.885 -5.091
Ga 0.692 -4.818 -1.971
Ga -0.444 -2.288 -2.193
Ga -2.449 -2.958 3.582
Ga 5.138 0.042 -1.084
Hg 1.956 -1.158 -3.457
Hg 3.325 -1.969 -5.878
Hg -2.768 -3.026 -0.552
Hg -4.706 -5.144 -0.939
```

As for the formation energy: -235 meV per atom. Its space group is No. 139. For the electronic total energy, the calculation gives -34.441 eV/cell. The total magnetization is 0.00 Bohr magnetons per cell.


Entry 2:
Density functional theory data (GGA-PBE) for a relaxed structure of Ho7Ga5Hg.

extended XYZ file:
```
13
Lattice="6.228 0.000 0.000 3.114 7.169 0.079 3.114 0.056 7.169" Properties=species:S:1:pos:R:3 pbc="T T T"
Ho 6.228 2.504 2.512
Ho 6.228 5.181 5.198
Ho 9.343 2.361 4.940
Ho 9.343 4.932 2.377
Ho 3.114 1.632 1.637
Ho 6.228 5.729 1.181
Ho 6.228 1.162 5.733
Ga 7.810 7.191 3.594
Ga 4.647 7.191 3.594
Ga 7.810 3.571 7.203
Ga 4.647 3.571 7.203
Ga 9.343 5.329 5.346
Hg 6.228 0.223 0.223
```

As for the formation energy: -376 meV per atom. Its space group is No. 44. For the electronic total energy, the calculation gives -52.370 eV/cell. The total magnetization is 0.00 Bohr magnetons per cell.


Entry 3:
Density functional theory data (GGA-PBE) for a relaxed structure of HoGaHg.

extended XYZ file:
```
6
Lattice="4.511 0.000 0.000 2.256 5.541 -0.171 2.256 0.833 5.327" Properties=species:S:1:pos:R:3 pbc="T T T"
Ho 4.511 4.084 0.977
Ho 4.511 2.290 4.179
Ga 2.256 2.172 1.818
Ga 6.767 4.202 3.338
Hg 4.511 5.614 3.879
Hg 4.511 0.760 1.277
```

As for the formation energy: -490 meV per atom. Its space group is No. 12. For the electronic total energy, the calculation gives -18.752 eV/cell. The total magnetization is 0.00 Bohr magnetons per cell.


Entry 4:
Density functional theory data (GGA-PBE) for a relaxed structure of Ho5Ga2Hg.

extended XYZ file:
```
16
Lattice="1.726 -6.860 -2.635 5.979 -0.262 4.600 -7.997 0.516 4.232" Properties=species:S:1:pos:R:3 pbc="T T T"
Ho -0.677 -3.416 4.769
Ho 4.915 -5.699 3.563
Ho 0.000 0.000 0.000
Ho 3.852 -3.561 0.982
Ho -5.207 -0.907 2.633
Ho -3.391 -4.379 2.049
Ho -2.493 0.055 5.353
Ho 3.099 -2.228 4.147
Ho 2.201 -6.662 0.843
Ho 0.384 -3.190 1.427
Ga 2.470 -0.937 1.416
Ga 1.805 -4.300 -1.077
Ga 5.900 -2.822 3.042
Ga 5.235 -6.185 0.549
Hg 1.780 -5.084 3.589
Hg -2.072 -1.523 2.607
```

As for the formation energy: -464 meV per atom. Its space group is No. 140. For the electronic total energy, the calculation gives -65.915 eV/cell. The total magnetization is 0.00 Bohr magnetons per cell. The polymorph energy (0 for the lowest one) is 0 meV per atom.


Entry 5:
Density functional theory data (GGA-PBE) for a relaxed structure of Ho6GaHg2.

extended XYZ file:
```
9
Lattice="-3.383 -3.247 -1.768 5.062 -4.967 -0.565 -2.310 1.807 8.208" Properties=species:S:1:pos:R:3 pbc="T T T"
Ho 0.767 -1.982 2.175
Ho -3.960 -1.910 3.986
Ho -1.398 -4.424 3.701
Ho -0.450 -2.842 -1.022
Ho 3.329 -4.496 1.889
Ho 2.129 -5.372 -1.310
Ga 0.000 0.000 0.000
Hg 0.350 -4.873 1.181
Hg -0.980 -1.533 4.695
```

As for the formation energy: -157 meV per atom. Its space group is No. 71. For the electronic total energy, the calculation gives -32.507 eV/cell. The total magnetization is 0.00 Bohr magnetons per cell.


Entry 6:
Density functional theory data (GGA-PBE) for a relaxed structure of Ho3Ga2Hg6.

extended XYZ file:
```
11
Lattice="4.210 0.000 0.000 0.000 4.210 0.000 -2.105 -2.105 15.452" Properties=species:S:1:pos:R:3 pbc="T T T"
Ho 0.000 0.000 0.000
Ho 2.105 2.105 10.247
Ho 0.000 0.000 5.206
Ga 0.000 0.000 11.075
Ga 2.105 2.105 4.377
Hg 0.000 2.105 2.305
Hg 2.105 0.000 2.305
Hg 2.105 0.000 13.147
Hg 0.000 2.105 13.147
Hg 2.105 2.105 7.124
Hg 0.000 0.000 8.328
```

As for the formation energy: -224 meV per atom. Its space group is No. 139. For the electronic total energy, the calculation gives -24.061 eV/cell. The total magnetization is 0.00 Bohr magnetons per cell.


Repeat the fourth record exactly.
Density functional theory data (GGA-PBE) for a relaxed structure of Ho5Ga2Hg.

extended XYZ file:
```
16
Lattice="1.726 -6.860 -2.635 5.979 -0.262 4.600 -7.997 0.516 4.232" Properties=species:S:1:pos:R:3 pbc="T T T"
Ho -0.677 -3.416 4.769
Ho 4.915 -5.699 3.563
Ho 0.000 0.000 0.000
Ho 3.852 -3.561 0.982
Ho -5.207 -0.907 2.633
Ho -3.391 -4.379 2.049
Ho -2.493 0.055 5.353
Ho 3.099 -2.228 4.147
Ho 2.201 -6.662 0.843
Ho 0.384 -3.190 1.427
Ga 2.470 -0.937 1.416
Ga 1.805 -4.300 -1.077
Ga 5.900 -2.822 3.042
Ga 5.235 -6.185 0.549
Hg 1.780 -5.084 3.589
Hg -2.072 -1.523 2.607
```

As for the formation energy: -464 meV per atom. Its space group is No. 140. For the electronic total energy, the calculation gives -65.915 eV/cell. The total magnetization is 0.00 Bohr magnetons per cell. The polymorph energy (0 for the lowest one) is 0 meV per atom.